No. 1
## Dy2YIn3Se6 (GGA-PBE)

Data for crystalline Dy2YIn3Se6 at its relaxed geometry.

Cell lengths 7.1877, 7.1877, 8.1045 Å; angles 98.50, 98.50, 120.00 degrees
With the nearest neighbours (Å) after each atom.
Atoms (fractional coordinates):
Dy  0.1667  0.8333  0.0000  6 Se 2.89
Dy  0.8333  0.1667  0.0000  6 Se 2.89
Y  0.5000  0.5000  0.0000  6 Se 2.89
In  0.0000  0.0000  0.5000  6 Se 3.29
In  0.3334  0.6666  0.5000  6 Se 3.29
In  0.6666  0.3334  0.5000  6 Se 3.29
Se  0.0966  0.4305  0.7915  2 Dy 2.89, 1 Y 2.89
Se  0.2357  0.2357  0.2084  2 Dy 2.89, 1 Y 2.89
Se  0.4305  0.0966  0.7915  2 Dy 2.89, 1 Y 2.89
Se  0.5695  0.9034  0.2085  2 Dy 2.89, 1 Y 2.89
Se  0.7643  0.7643  0.7916  2 Dy 2.89, 1 Y 2.89
Se  0.9034  0.5695  0.2085  2 Dy 2.89, 1 Y 2.89

Output
Space-group type: C2/m

---

No. 2
## Dy3ZrIn3Se8 (GGA-PBE)

Data for crystalline Dy3ZrIn3Se8 at its relaxed geometry.

Cell lengths 9.0696, 9.0696, 9.0696 Å; angles 53.33, 53.33, 53.33 degrees
With the nearest neighbours (Å) after each atom.
Atoms (fractional coordinates):
Dy  0.0000  0.5000  0.5000  6 Se 2.86-2.88
Dy  0.5000  0.0000  0.5000  6 Se 2.86-2.88
Dy  0.5000  0.5000  0.0000  6 Se 2.86-2.88
Zr  0.0000  0.0000  0.0000  6 Se 2.75
In  0.0000  0.0000  0.5000  6 Se 3.25
In  0.0000  0.5000  0.0000  6 Se 3.25
In  0.5000  0.0000  0.0000  6 Se 3.25
Se  0.2274  0.2274  0.7497  1 Zr 2.75, 2 Dy 2.88
Se  0.2274  0.7497  0.2274  1 Zr 2.75, 2 Dy 2.88
Se  0.2503  0.7726  0.7726  1 Zr 2.75, 2 Dy 2.88
Se  0.2633  0.2633  0.2633  3 Dy 2.86
Se  0.7367  0.7367  0.7367  3 Dy 2.86
Se  0.7497  0.2274  0.2274  1 Zr 2.75, 2 Dy 2.88
Se  0.7726  0.2503  0.7726  1 Zr 2.75, 2 Dy 2.88
Se  0.7726  0.7726  0.2503  1 Zr 2.75, 2 Dy 2.88

Output
Space-group type: R-3m

---

No. 3
## Dy12InSi5 (GGA-PBE)

Data for crystalline Dy12InSi5 at its relaxed geometry.

Cell lengths 8.4563, 8.4563, 8.4563 Å; angles 111.86, 111.42, 105.21 degrees
With the nearest neighbours (Å) after each atom.
Atoms (fractional coordinates):
Dy  0.0360  0.2332  0.8028  2 Si 2.92-3.04
Dy  0.1807  0.2707  0.4514  4 Si 3.02-3.14
Dy  0.1807  0.7293  0.9100  4 Si 3.02-3.14
Dy  0.3205  0.0235  0.7030  3 Si 2.85-2.93
Dy  0.3205  0.6175  0.2970  3 Si 2.85-2.93
Dy  0.4303  0.2332  0.1972  2 Si 2.92-3.04
Dy  0.5697  0.7668  0.8028  2 Si 2.92-3.04
Dy  0.6795  0.3825  0.7030  3 Si 2.85-2.93
Dy  0.6795  0.9765  0.2970  3 Si 2.85-2.93
Dy  0.8193  0.2707  0.0900  4 Si 3.02-3.14
Dy  0.8193  0.7293  0.5486  4 Si 3.02-3.14
Dy  0.9640  0.7668  0.1972  2 Si 2.92-3.04
In  0.5000  0.5000  0.0000  8 Dy 3.32-3.36
Si  0.0000  0.0000  0.0000  8 Dy 3.04-3.09
Si  0.1159  0.6159  0.5000  1 Si 2.38
Si  0.3717  0.0000  0.3717  1 Si 2.44
Si  0.6283  0.0000  0.6283  1 Si 2.44
Si  0.8841  0.3841  0.5000  1 Si 2.38

Output
Space-group type: Immm

---

No. 4
## Dy6In2Si (GGA-PBE)

Data for crystalline Dy6In2Si at its relaxed geometry.

Cell lengths 8.5131, 8.5131, 3.9887 Å; angles 90.00, 90.00, 120.00 degrees
With the nearest neighbours (Å) after each atom.
Atoms (fractional coordinates):
Dy  0.0000  0.2525  0.0000  2 Si 2.93, 2 In 3.24
Dy  0.0000  0.6085  0.5000  4 In 3.30, 1 Si 3.33, 6 Dy 3.54-3.63
Dy  0.2525  0.0000  0.0000  2 Si 2.93, 2 In 3.24
Dy  0.3915  0.3915  0.5000  4 In 3.30, 1 Si 3.33, 6 Dy 3.54-3.63
Dy  0.6085  0.0000  0.5000  4 In 3.30, 1 Si 3.33, 6 Dy 3.54-3.63
Dy  0.7475  0.7475  0.0000  2 Si 2.93, 2 In 3.24
In  0.3333  0.6667  0.0000  9 Dy 3.24-3.30
In  0.6667  0.3333  0.0000  9 Dy 3.24-3.30
Si  0.0000  0.0000  0.5000  6 Dy 2.93

Output
Space-group type: P-62m

---

No. 5
## Dy11In6Si4 (GGA-PBE)

Data for crystalline Dy11In6Si4 at its relaxed geometry.

Cell lengths 11.4626, 11.4626, 11.4626 Å; angles 119.89, 119.89, 90.19 degrees
With the nearest neighbours (Å) after each atom.
Atoms (fractional coordinates):
Dy  0.0647  0.3149  0.7497  3 Si 3.05-3.19, 4 In 3.36-3.42
Dy  0.1009  0.4488  0.3479  3 Si 2.97-2.98, 2 In 3.09, 1 Dy 3.27
Dy  0.1009  0.7530  0.6521  3 Si 2.97-2.98, 2 In 3.09, 1 Dy 3.27
Dy  0.1688  0.1688  0.0000  8 In 3.35-3.44, 1 Si 3.42, 4 Dy 3.72
Dy  0.2470  0.8991  0.3479  3 Si 2.97-2.98, 2 In 3.09, 1 Dy 3.27
Dy  0.3149  0.0647  0.7497  3 Si 3.05-3.19, 4 In 3.36-3.42
Dy  0.3149  0.5652  0.2503  3 Si 3.05-3.19, 4 In 3.36-3.42
Dy  0.3335  0.3335  0.6670  2 Si 2.82
Dy  0.3335  0.6665  0.0000  2 Si 2.82
Dy  0.4348  0.6851  0.7497  3 Si 3.05-3.19, 4 In 3.36-3.42
Dy  0.4488  0.1009  0.3479  3 Si 2.97-2.98, 2 In 3.09, 1 Dy 3.27
Dy  0.5512  0.8991  0.6521  3 Si 2.97-2.98, 2 In 3.09, 1 Dy 3.27
Dy  0.5652  0.3149  0.2503  3 Si 3.05-3.19, 4 In 3.36-3.42
Dy  0.6665  0.3335  0.0000  2 Si 2.82
Dy  0.6665  0.6665  0.3330  2 Si 2.82
Dy  0.6851  0.4348  0.7497  3 Si 3.05-3.19, 4 In 3.36-3.42
Dy  0.6851  0.9353  0.2503  3 Si 3.05-3.19, 4 In 3.36-3.42
Dy  0.7530  0.1009  0.6521  3 Si 2.97-2.98, 2 In 3.09, 1 Dy 3.27
Dy  0.8312  0.8312  0.0000  8 In 3.35-3.44, 1 Si 3.42, 4 Dy 3.72
Dy  0.8991  0.2470  0.3479  3 Si 2.97-2.98, 2 In 3.09, 1 Dy 3.27
Dy  0.8991  0.5512  0.6521  3 Si 2.97-2.98, 2 In 3.09, 1 Dy 3.27
Dy  0.9353  0.6851  0.2503  3 Si 3.05-3.19, 4 In 3.36-3.42
In  0.0354  0.0354  0.4125  2 In 2.93-3.04, 2 Dy 3.09
In  0.0354  0.6230  0.0000  2 In 2.93-3.04, 2 Dy 3.09
In  0.1288  0.1288  0.2577  4 In 2.96-3.04
In  0.1288  0.8712  0.0000  4 In 2.96-3.04
In  0.3770  0.3770  0.4125  2 In 2.93-3.04, 2 Dy 3.09
In  0.3770  0.9646  0.0000  2 In 2.93-3.04, 2 Dy 3.09
In  0.6230  0.0354  0.0000  2 In 2.93-3.04, 2 Dy 3.09
In  0.6230  0.6230  0.5875  2 In 2.93-3.04, 2 Dy 3.09
In  0.8712  0.1288  0.0000  4 In 2.96-3.04
In  0.8712  0.8712  0.7423  4 In 2.96-3.04
In  0.9646  0.3770  0.0000  2 In 2.93-3.04, 2 Dy 3.09
In  0.9646  0.9646  0.5875  2 In 2.93-3.04, 2 Dy 3.09
Si  0.1532  0.5000  0.6532  6 Dy 2.82-2.97
Si  0.2500  0.7500  0.5000  8 Dy 2.98-3.05
Si  0.3799  0.3799  0.0000  9 Dy 3.06-3.42
Si  0.5000  0.1532  0.6532  6 Dy 2.82-2.97
Si  0.5000  0.8468  0.3468  6 Dy 2.82-2.97
Si  0.6201  0.6201  0.0000  9 Dy 3.06-3.42
Si  0.7500  0.2500  0.5000  8 Dy 2.98-3.05
Si  0.8468  0.5000  0.3468  6 Dy 2.82-2.97

Output
Space-group type: I4/mmm

---

No. 6
## Dy4InSi (GGA-PBE)

Data for crystalline Dy4InSi at its relaxed geometry.

Cell lengths 5.7313, 6.6895, 8.5717 Å; angles 90.00, 99.31, 90.00 degrees
With the nearest neighbours (Å) after each atom.
Atoms (fractional coordinates):
Dy  0.1533  0.2500  0.0523  2 Si 2.85-3.09, 1 In 3.12
Dy  0.1866  0.7500  0.3616  1 Si 3.04, 3 In 3.28-3.39
Dy  0.3373  0.5084  0.7486  2 Si 2.91-2.97, 1 Dy 3.23
Dy  0.3373  0.9916  0.7486  2 Si 2.91-2.97, 1 Dy 3.23
Dy  0.6627  0.0084  0.2514  2 Si 2.91-2.97, 1 Dy 3.23
Dy  0.6627  0.4916  0.2514  2 Si 2.91-2.97, 1 Dy 3.23
Dy  0.8134  0.2500  0.6384  1 Si 3.04, 3 In 3.28-3.39
Dy  0.8467  0.7500  0.9477  2 Si 2.85-3.09, 1 In 3.12
In  0.2341  0.2500  0.4207  8 Dy 3.12-3.45
In  0.7659  0.7500  0.5793  8 Dy 3.12-3.45
Si  0.3471  0.7500  0.0401  7 Dy 2.85-3.09
Si  0.6529  0.2500  0.9599  7 Dy 2.85-3.09

Output
Space-group type: P2_1/m

---

No. 7
## Dy2InSi (GGA-PBE)

Data for crystalline Dy2InSi at its relaxed geometry.

Cell lengths 8.6732, 8.6732, 8.6732 Å; angles 25.68, 25.68, 25.68 degrees
With the nearest neighbours (Å) after each atom.
Atoms (fractional coordinates):
Dy  0.2376  0.2376  0.2376  3 Si 2.85
Dy  0.7624  0.7624  0.7624  3 Si 2.85
In  0.0000  0.0000  0.0000  6 Dy 3.28
Si  0.5000  0.5000  0.5000  6 Dy 2.85

Output
Space-group type: R-3m

---

No. 8
## Dy5InSi2 (GGA-PBE)

Data for crystalline Dy5InSi2 at its relaxed geometry.

Cell lengths 8.8658, 8.8658, 8.8658 Å; angles 128.62, 128.62, 75.62 degrees
With the nearest neighbours (Å) after each atom.
Atoms (fractional coordinates):
Dy  0.0000  0.0000  0.0000  4 Si 3.02
Dy  0.0289  0.5289  0.8357  3 Si 2.94-3.02, 2 In 3.26
Dy  0.1931  0.0289  0.5000  3 Si 2.94-3.02, 2 In 3.26
Dy  0.3069  0.8069  0.8357  3 Si 2.94-3.02, 2 In 3.26
Dy  0.4711  0.3069  0.5000  3 Si 2.94-3.02, 2 In 3.26
Dy  0.5000  0.5000  0.0000  4 Si 3.02
Dy  0.5289  0.6931  0.5000  3 Si 2.94-3.02, 2 In 3.26
Dy  0.6931  0.1931  0.1643  3 Si 2.94-3.02, 2 In 3.26
Dy  0.8069  0.9711  0.5000  3 Si 2.94-3.02, 2 In 3.26
Dy  0.9711  0.4711  0.1643  3 Si 2.94-3.02, 2 In 3.26
In  0.2500  0.2500  0.0000  10 Dy 3.26-3.50
In  0.7500  0.7500  0.0000  10 Dy 3.26-3.50
Si  0.1291  0.3709  0.5000  1 Si 2.81, 8 Dy 2.94-3.02
Si  0.3709  0.8709  0.2417  1 Si 2.81, 8 Dy 2.94-3.02
Si  0.6291  0.1291  0.7583  1 Si 2.81, 8 Dy 2.94-3.02
Si  0.8709  0.6291  0.5000  1 Si 2.81, 8 Dy 2.94-3.02

Output
Space-group type: I4/mcm

---

No. 9
## Dy5In2Si2 (GGA-PBE)

Data for crystalline Dy5In2Si2 at its relaxed geometry.

Cell lengths 8.7825, 8.7825, 7.6527 Å; angles 90.00, 90.00, 51.46 degrees
With the nearest neighbours (Å) after each atom.
Atoms (fractional coordinates):
Dy  0.0000  0.0000  0.0000  4 Si 3.05-3.06, 4 Dy 3.40
Dy  0.0608  0.6908  0.6811  3 Si 2.91-3.07, 3 In 3.14-3.22
Dy  0.1908  0.5608  0.1811  3 Si 2.91-3.07, 3 In 3.14-3.22
Dy  0.3092  0.9392  0.6811  3 Si 2.91-3.07, 3 In 3.14-3.22
Dy  0.4392  0.8092  0.1811  3 Si 2.91-3.07, 3 In 3.14-3.22
Dy  0.5000  0.5000  0.5000  4 Si 3.05-3.06, 4 Dy 3.40
Dy  0.5608  0.1908  0.8189  3 Si 2.91-3.07, 3 In 3.14-3.22
Dy  0.6908  0.0608  0.3189  3 Si 2.91-3.07, 3 In 3.14-3.22
Dy  0.8092  0.4392  0.8189  3 Si 2.91-3.07, 3 In 3.14-3.22
Dy  0.9392  0.3092  0.3189  3 Si 2.91-3.07, 3 In 3.14-3.22
In  0.2220  0.2220  0.0000  6 Dy 3.14-3.22
In  0.2780  0.2780  0.5000  6 Dy 3.14-3.22
In  0.7220  0.7220  0.5000  6 Dy 3.14-3.22
In  0.7780  0.7780  0.0000  6 Dy 3.14-3.22
Si  0.1166  0.8834  0.3810  1 Si 2.55
Si  0.3834  0.6166  0.8810  1 Si 2.55
Si  0.6166  0.3834  0.1190  1 Si 2.55
Si  0.8834  0.1166  0.6190  1 Si 2.55

Output
Space-group type: Cmce

---

Formation energy (no corrections) per entry: -1.305; -1.312; -0.558; -0.400; -0.603; -0.434; -0.405; -0.595; -0.574 eV/atom